{"formula": "La8Ga3AuBr4", "functional": "GGA-PBE", "state": "optimized geometry", "energy_ev_per_fu": -74.08, "formation_energy_uncorrected_ev_per_fu": -15.61, "sg": "R-3m", "volume_a3_per_cell": 492.6, "lattice": [[4.4628, 2.5766, 7.1394], [-4.4628, 2.5766, 7.1394], [0.0000, -5.1532, 7.1394]], "species": ["La", "La", "La", "La", "La", "La", "La", "La", "Ga", "Ga", "Ga", "Au", "Br", "Br", "Br", "Br"], "fractional_positions": [[0.2401, 0.7468, 0.7468], [0.2450, 0.2450, 0.2450], [0.2532, 0.2532, 0.7599], [0.2532, 0.7599, 0.2532], [0.7468, 0.2401, 0.7468], [0.7468, 0.7468, 0.2401], [0.7550, 0.7550, 0.7550], [0.7599, 0.2532, 0.2532], [0.0000, 0.0000, 0.5000], [0.0000, 0.5000, 0.0000], [0.5000, 0.0000, 0.0000], [0.5000, 0.5000, 0.5000], [0.0000, 0.0000, 0.0000], [0.0000, 0.5000, 0.5000], [0.5000, 0.0000, 0.5000], [0.5000, 0.5000, 0.0000]]}

---

{"formula": "Nd8Ga3AuBr4", "functional": "GGA-PBE", "state": "optimized geometry", "energy_ev_per_fu": -71.71, "formation_energy_uncorrected_ev_per_fu": -14.51, "sg": "C2/m", "volume_a3_per_cell": 464.6, "lattice": [[7.4927, -4.3183, 0.0000], [7.4927, 4.3183, 0.0000], [-5.0022, 0.0000, 7.1789]], "species": ["Nd", "Nd", "Nd", "Nd", "Nd", "Nd", "Nd", "Nd", "Ga", "Ga", "Ga", "Au", "Br", "Br", "Br", "Br"], "fractional_positions": [[0.2394, 0.7445, 0.7284], [0.2432, 0.2432, 0.7296], [0.2554, 0.2554, 0.2714], [0.2555, 0.7606, 0.2716], [0.7445, 0.2394, 0.7284], [0.7446, 0.7446, 0.7286], [0.7568, 0.7568, 0.2704], [0.7606, 0.2555, 0.2716], [0.0000, 0.0000, 0.5000], [0.0000, 0.5000, 0.5000], [0.5000, 0.0000, 0.5000], [0.5000, 0.5000, 0.5000], [0.0000, 0.0000, 0.0000], [0.0000, 0.5000, 0.0000], [0.5000, 0.0000, 0.0000], [0.5000, 0.5000, 0.0000]]}

---

{"formula": "GaNiAuBr2", "functional": "GGA-PBE", "state": "optimized geometry", "energy_ev_per_fu": -12.28, "formation_energy_uncorrected_ev_per_fu": 3.15, "sg": "P4/mmm", "volume_a3_per_cell": 132.0, "lattice": [[5.3549, 0.0000, 0.0000], [0.0000, 5.3549, 0.0000], [0.0000, 0.0000, 4.6040]], "species": ["Ga", "Ni", "Au", "Br", "Br"], "fractional_positions": [[0.0000, 0.0000, 0.0000], [0.0000, 0.0000, 0.5000], [0.5000, 0.5000, 0.5000], [0.0000, 0.5000, 0.0000], [0.5000, 0.0000, 0.0000]]}

---

{"formula": "GaAuBrO2", "functional": "GGA-PBE", "state": "optimized geometry", "energy_ev_per_fu": -15.62, "formation_energy_uncorrected_ev_per_fu": 2.27, "sg": "P4/mmm", "volume_a3_per_cell": 85.2, "lattice": [[3.9427, 0.0000, 0.0000], [0.0000, 3.9427, 0.0000], [0.0000, 0.0000, 5.4794]], "species": ["Ga", "Au", "Br", "O", "O"], "fractional_positions": [[0.0000, 0.0000, 0.0000], [0.5000, 0.5000, 0.0000], [0.5000, 0.5000, 0.5000], [0.0000, 0.5000, 0.5000], [0.5000, 0.0000, 0.5000]]}

---

{"formula": "Pr4GaAuBr2", "functional": "GGA-PBE", "state": "optimized geometry", "energy_ev_per_fu": -36.19, "formation_energy_uncorrected_ev_per_fu": -7.42, "sg": "P2/m", "volume_a3_per_cell": 238.0, "lattice": [[7.6387, 0.0000, 0.0000], [0.0000, 4.2345, 0.0000], [-2.3964, 0.0000, 7.3588]], "species": ["Pr", "Pr", "Pr", "Pr", "Ga", "Au", "Br", "Br"], "fractional_positions": [[0.2260, 0.0000, 0.2433], [0.2343, 0.5000, 0.7421], [0.7657, 0.5000, 0.2579], [0.7740, 0.0000, 0.7567], [0.0000, 0.0000, 0.5000], [0.0000, 0.5000, 0.0000], [0.5000, 0.0000, 0.0000], [0.5000, 0.5000, 0.5000]]}

---

{"formula": "RbGa2AuBr", "functional": "GGA-PBE", "state": "optimized geometry", "energy_ev_per_fu": -11.37, "formation_energy_uncorrected_ev_per_fu": 0.60, "sg": "P4/mmm", "volume_a3_per_cell": 208.2, "lattice": [[5.6769, 0.0000, 0.0000], [0.0000, 5.6769, 0.0000], [0.0000, 0.0000, 6.4605]], "species": ["Rb", "Ga", "Ga", "Au", "Br"], "fractional_positions": [[0.0000, 0.0000, 0.0000], [0.0000, 0.5000, 0.5000], [0.5000, 0.0000, 0.5000], [0.5000, 0.5000, 0.0000], [0.0000, 0.0000, 0.5000]]}